SrNiAuF2 after structural relaxation. Source: Alexandria, functional PBE+U.

Output
Total magnetization in μB/atom: 0.25
E_tot in eV/atom: -3.74

a b c (Å): 4.277 4.277 5.097
angles (deg): 90.00 90.00 90.00
Fractional coordinates of all 5 atoms:
Sr1 0.000 0.000 0.000
Ni1 0.500 0.500 0.500
Au1 0.500 0.500 0.000
F1 0.000 0.500 0.500
F2 0.500 0.000 0.500